1.
An optimized crystal structure of Rb2SbAuI6, computed with PBE-GGA.

Its energy relative to the lowest polymorph listed for this composition is 39 meV/atom. For the calculated density, the calculation gives 4.81 g/cm³.

The structure belongs to space group Fm-3m (No. 225); the cell edges are 11.9997, 11.9997 and 11.9997 Å and the angles 90.00°, 90.00° and 90.00°. The asymmetric unit holds Rb at (0.2500, 0.2500, 0.2500), Sb at (0.0000, 0.0000, 0.0000), Au at (0.0000, 0.0000, 0.5000) and I at (0.0000, 0.0000, 0.2531).

2.
An optimized crystal structure of Cs2LiCd4, computed with PBE-GGA.

Its energy is -14.01 eV per cell. For the calculated density, the calculation gives 4.11 g/cm³.

The structure belongs to space group I4/mmm (No. 139); the cell edges are 5.5309, 5.5309 and 19.0650 Å and the angles 90.00°, 90.00° and 90.00°. The asymmetric unit holds Cs at (0.0000, 0.0000, 0.1499), Li at (0.0000, 0.0000, 0.5000), Cd at (0.0000, 0.0000, 0.3618) and Cd at (0.0000, 0.5000, 0.0000).

3.
An optimized crystal structure of MoSe2Br, computed with PBE-GGA.

Its energy relative to the lowest polymorph listed for this composition is 0 meV/atom. For the calculated density, the calculation gives 4.17 g/cm³.

The structure belongs to space group Pm (No. 6); the cell edges are 6.4950, 3.3138 and 6.7609 Å and the angles 90.00°, 114.17° and 90.00°. The asymmetric unit holds Mo at (0.0000, 0.0000, 0.0000), Se at (0.2404, 0.5000, 0.9247), Se at (0.6760, 0.0000, 0.6992) and Br at (0.9451, 0.5000, 0.2742).

4.
An optimized crystal structure of ZnCdO2, computed with PBE-GGA.

Its energy is -33.78 eV per cell. For the calculated density, the calculation gives 6.00 g/cm³.

The structure belongs to space group Pmn2_1 (No. 31); the cell edges are 3.4267, 7.0138 and 4.8321 Å and the angles 90.00°, 90.00° and 90.00°. The asymmetric unit holds Zn at (0.0000, 0.1143, 0.0000), Cd at (0.0000, 0.6389, 0.0058), O at (0.0000, 0.3569, 0.2131) and O at (0.0000, 0.8979, 0.2750).

Which formula does entry 3 have?
MoSe2Br